1.
Below is a geometry-optimized BeAlAsOs structure, with properties calculated at the PBE level.

Lattice parameters (Å, degrees): 4.299 4.299 4.299 60.00 60.00 60.00
Positions (direct):
As1 0.000 0.000 0.000
Os1 0.500 0.500 0.500
Be1 0.750 0.750 0.750
Al1 0.250 0.250 0.250

Properties
The crystal system is cubic. The space group is F-43m, No. 216. The calculation puts the energy above the most stable polymorph in this dataset at 82 meV per atom. As for the mass density: 8.9 g/cm³.

=====

2.
Below is a geometry-optimized Sm3Zn3IrPd2 structure, with properties calculated at the PBE level.

Lattice parameters (Å, degrees): 7.315 7.315 3.996 90.00 90.00 120.00
Positions (direct):
Zn1 0.000 0.242 0.000
Zn2 0.242 0.000 0.000
Zn3 0.758 0.758 0.000
Pd1 0.667 0.333 0.000
Pd2 0.333 0.667 0.000
Ir1 0.000 0.000 0.500
Sm1 0.000 0.600 0.500
Sm2 0.400 0.400 0.500
Sm3 0.600 0.000 0.500

Properties
The crystal system is hexagonal. The space group is P-62m, No. 189. For the formation energy, the calculation gives -0.69 eV per atom. As for the mass density: 9.4 g/cm³.

=====

3.
Below is a geometry-optimized Pa3TlC structure, with properties calculated at the PBE level.

Lattice parameters (Å, degrees): 4.825 4.825 4.825 90.00 90.00 90.00
Positions (direct):
Pa1 0.000 0.500 0.500
Pa2 0.500 0.500 0.000
Pa3 0.500 0.000 0.500
C1 0.500 0.500 0.500
Tl1 0.000 0.000 0.000

Properties
The crystal system is cubic. The space group is Pm-3m, No. 221. As for the final energy: -8.151 eV per atom. As for the mass density: 13.4 g/cm³.

=====

4.
Below is a geometry-optimized Ta7Re5 structure, with properties calculated at the PBE level.

Lattice parameters (Å, degrees): 5.303 5.303 17.154 90.00 90.00 120.00
Positions (direct):
Re1 0.683 0.842 0.250
Re2 0.158 0.317 0.250
Re3 0.667 0.333 0.336
Re4 0.842 0.683 0.750
Re5 0.158 0.842 0.250
Re6 0.317 0.158 0.750
Re7 0.333 0.667 0.836
Re8 0.667 0.333 0.164
Re9 0.333 0.667 0.664
Re10 0.842 0.158 0.750
Ta1 0.000 0.500 0.500
Ta2 0.333 0.667 0.369
Ta3 0.500 0.500 0.500
Ta4 0.500 0.500 0.000
Ta5 0.000 0.000 0.100
Ta6 0.667 0.333 0.631
Ta7 0.500 0.000 0.500
Ta8 0.667 0.333 0.869
Ta9 0.500 0.000 0.000
Ta10 0.333 0.667 0.131
Ta11 0.000 0.000 0.600
Ta12 0.000 0.500 0.000
Ta13 0.000 0.000 0.900
Ta14 0.000 0.000 0.400

Properties
The crystal system is hexagonal. The space group is P6_3/mmc, No. 194. For the formation energy, the calculation gives 0.23 eV per atom. The calculation puts the energy above the most stable polymorph in this dataset at 298 meV per atom. As for the mass density: 17.5 g/cm³.

=====

5.
Below is a geometry-optimized Dy3NiPd2Pb3 structure, with properties calculated at the PBE level.

Lattice parameters (Å, degrees): 7.811 7.811 3.803 90.00 90.00 120.00
Positions (direct):
Pb1 0.000 0.259 0.500
Pb2 0.741 0.741 0.500
Pb3 0.259 0.000 0.500
Pd1 0.667 0.333 0.500
Pd2 0.333 0.667 0.500
Dy1 0.603 0.000 0.000
Dy2 0.000 0.603 0.000
Dy3 0.397 0.397 0.000
Ni1 0.000 0.000 0.000

Properties
The crystal system is hexagonal. The space group is P-62m, No. 189. As for the final energy: -5.193 eV per atom. As for the mass density: 11.4 g/cm³.

=====

6.
Below is a geometry-optimized Tm3AlNi8 structure, with properties calculated at the PBE level.

Lattice parameters (Å, degrees): 5.004 5.003 15.910 90.00 90.00 120.01
Positions (direct):
Ni1 0.169 0.338 0.375
Ni2 0.169 0.338 0.125
Ni3 0.831 0.662 0.875
Ni4 0.338 0.169 0.875
Ni5 0.831 0.662 0.625
Ni6 0.333 0.667 0.250
Ni7 0.338 0.169 0.625
Ni8 0.831 0.169 0.625
Ni9 0.667 0.333 0.750
Ni10 0.169 0.831 0.125
Ni11 0.169 0.831 0.375
Ni12 0.831 0.169 0.875
Ni13 0.662 0.831 0.125
Ni14 0.000 0.000 0.250
Ni15 0.662 0.831 0.375
Ni16 0.000 0.000 0.750
Al1 0.000 0.000 0.000
Al2 0.000 0.000 0.500
Tm1 0.667 0.333 0.455
Tm2 0.667 0.333 0.250
Tm3 0.333 0.667 0.955
Tm4 0.333 0.667 0.750
Tm5 0.333 0.667 0.545
Tm6 0.667 0.333 0.045

Properties
The crystal system is hexagonal. The space group is P6_3/mmc, No. 194. The calculation puts the energy above the most stable polymorph in this dataset at 24 meV per atom. As for the mass density: 9.7 g/cm³.

=====

7.
Below is a geometry-optimized Cs2SiAgBr6 structure, with properties calculated at the PBE level.

Lattice parameters (Å, degrees): 7.684 7.684 7.684 60.00 60.00 60.00
Positions (direct):
Br1 0.762 0.762 0.238
Br2 0.238 0.762 0.762
Br3 0.238 0.762 0.238
Br4 0.762 0.238 0.238
Br5 0.762 0.238 0.762
Br6 0.238 0.238 0.762
Si1 0.000 0.000 0.000
Cs1 0.750 0.750 0.750
Cs2 0.250 0.250 0.250
Ag1 0.500 0.500 0.500

Properties
The crystal system is cubic. The space group is Fm-3m, No. 225. As for the final energy: -3.001 eV per atom. As for the mass density: 4.6 g/cm³.

=====

8.
Below is a geometry-optimized NaTaAgO3 structure, with properties calculated at the PBE level.

Lattice parameters (Å, degrees): 3.046 10.182 10.842 90.00 90.00 90.00
Positions (direct):
Ta1 0.750 0.065 0.872
Ta2 0.250 0.435 0.372
Ta3 0.250 0.935 0.128
Ta4 0.750 0.565 0.628
Na1 0.750 0.750 0.371
Na2 0.250 0.250 0.629
Na3 0.750 0.250 0.129
Na4 0.250 0.750 0.871
O1 0.250 0.114 0.996
O2 0.250 0.970 0.795
O3 0.750 0.886 0.004
O4 0.750 0.530 0.295
O5 0.250 0.470 0.705
O6 0.250 0.287 0.281
O7 0.250 0.614 0.504
O8 0.750 0.213 0.781
O9 0.250 0.787 0.219
O10 0.750 0.386 0.496
O11 0.750 0.030 0.205
O12 0.750 0.713 0.719
Ag1 0.250 0.429 0.921
Ag2 0.250 0.929 0.579
Ag3 0.750 0.071 0.421
Ag4 0.750 0.571 0.079

Properties
The crystal system is orthorhombic. The space group is Pnma, No. 62. As for the final energy: -7.068 eV per atom. As for the mass density: 7.1 g/cm³.